First-principles (PBE with a Hubbard U) data for a geometry-optimized V2CdP4O14 structure, as listed in Alexandria via LeMat-Bulk.

Lattice parameters (Å, degrees): 4.889 7.074 7.960 89.47 87.03 73.61
Element x y z (fractional)
V: 0.000 0.000 0.000
V: 0.500 0.500 0.500
Cd: 0.000 0.000 0.500
P: 0.021 0.385 0.748
P: 0.386 0.210 0.222
P: 0.614 0.790 0.778
P: 0.979 0.615 0.252
O: 0.069 0.227 0.879
O: 0.116 0.673 0.410
O: 0.176 0.081 0.232
O: 0.210 0.429 0.169
O: 0.292 0.444 0.703
O: 0.388 0.848 0.919
O: 0.499 0.774 0.602
O: 0.501 0.226 0.398
O: 0.612 0.152 0.081
O: 0.708 0.556 0.297
O: 0.790 0.571 0.831
O: 0.824 0.919 0.768
O: 0.884 0.327 0.590
O: 0.931 0.773 0.121

Properties
For the final energy, the calculation gives -7.22 eV per atom. The calculation puts the total magnetization at 4.0 μB per formula unit. The density of states at the Fermi level is 0.00 states/eV per atom. As for the space group: P-1.